Entry from OQMD via LeMat-Bulk: Sm2S3 after structural relaxation (GGA-PBE).

abc: 10.889 3.974 10.618
angles: 90.00 90.00 90.00
Atoms (fractional coordinates):
S 0.880 0.250 0.055
S 0.546 0.250 0.126
S 0.271 0.750 0.198
S 0.771 0.750 0.302
S 0.046 0.250 0.374
S 0.380 0.250 0.445
S 0.620 0.750 0.555
S 0.954 0.750 0.626
S 0.229 0.250 0.698
S 0.729 0.250 0.802
S 0.454 0.750 0.874
S 0.120 0.750 0.945
Sm 0.308 0.250 0.004
Sm 0.009 0.750 0.186
Sm 0.509 0.750 0.314
Sm 0.808 0.250 0.496
Sm 0.192 0.750 0.504
Sm 0.491 0.250 0.686
Sm 0.991 0.250 0.814
Sm 0.692 0.750 0.996

## Properties
Raw total energy (eV/atom): -6.44